Density functional theory data (GGA-PBE) for a relaxed Sr4HgPb crystal.

extended XYZ file:
```
12
Lattice="5.309 -7.662 0.000 5.309 7.662 0.000 -3.819 0.000 6.204" Properties=species:S:1:pos:R:3 pbc="T T T"
Sr 0.496 4.933 5.643
Sr 0.433 0.910 4.515
Sr 4.393 4.933 3.663
Sr 2.343 -0.910 1.412
Sr 4.456 0.910 4.792
Sr 2.405 -4.933 2.541
Sr 6.366 -0.910 1.690
Sr 6.303 -4.933 0.561
Hg 2.445 7.571 4.653
Hg 4.354 -7.571 1.551
Pb 4.354 2.118 1.551
Pb 2.445 -2.118 4.653
```

* total magnetization: 0.000 μB per formula unit
* symmetry: C2/c (15)
* energy relative to the lowest polymorph listed for this composition: 0 meV per atom
* density: 5.0 g/cm³
* electronic total energy: -2.1856 eV per atom